This record from Alexandria describes a geometry-optimized ZrFe12Si6 structure. The functional is PBE.

The formation energy (no corrections) comes out at -3.36 eV per formula unit.

Lattice parameters (Å, degrees): 6.5293 6.5293 6.5293 104.99 104.99 104.99
Positions (direct):
Zr (0.0000, 0.0000, 0.0000)
Fe (0.1180, 0.5000, 0.8820)
Fe (0.1180, 0.8820, 0.5000)
Fe (0.1593, 0.4201, 0.4201)
Fe (0.4201, 0.1593, 0.4201)
Fe (0.4201, 0.4201, 0.1593)
Fe (0.5000, 0.1180, 0.8820)
Fe (0.5000, 0.8820, 0.1180)
Fe (0.5799, 0.5799, 0.8407)
Fe (0.5799, 0.8407, 0.5799)
Fe (0.8407, 0.5799, 0.5799)
Fe (0.8820, 0.1180, 0.5000)
Fe (0.8820, 0.5000, 0.1180)
Si (0.2546, 0.2546, 0.7161)
Si (0.2546, 0.7161, 0.2546)
Si (0.2839, 0.7454, 0.7454)
Si (0.7161, 0.2546, 0.2546)
Si (0.7454, 0.2839, 0.7454)
Si (0.7454, 0.7454, 0.2839)



This record from Alexandria describes a geometry-optimized InCu2Pb structure. The functional is PBE.

As for the calculated formation energy: 0.25 eV/atom.

Lattice parameters (Å, degrees): 4.7536 4.7536 3.4869 90.00 90.00 90.00
Positions (direct):
In (0.0000, 0.0000, 0.0000)
Cu (0.0000, 0.5000, 0.5000)
Cu (0.5000, 0.0000, 0.5000)
Pb (0.5000, 0.5000, 0.0000)



This record from Alexandria describes a geometry-optimized TbZnSnPt3 structure. The functional is PBE.

As for the calculated formation energy: -0.57 eV/atom.

Lattice parameters (Å, degrees): 7.3020 7.3020 5.9424 90.00 90.00 133.24
Positions (direct):
Tb (0.1676, 0.8324, 0.7500)
Tb (0.8324, 0.1676, 0.2500)
Zn (0.3874, 0.6126, 0.7500)
Zn (0.6126, 0.3874, 0.2500)
Sn (0.1419, 0.8581, 0.2500)
Sn (0.8581, 0.1419, 0.7500)
Pt (0.2477, 0.2477, 0.0000)
Pt (0.2477, 0.2477, 0.5000)
Pt (0.3390, 0.6610, 0.2500)
Pt (0.6610, 0.3390, 0.7500)
Pt (0.7523, 0.7523, 0.0000)
Pt (0.7523, 0.7523, 0.5000)



This record from Alexandria describes a geometry-optimized Sr2ReTe structure. The functional is PBE.

The formation energy (no corrections) comes out at 1.53 eV per formula unit. As for the excess energy over the best structure of this formula in the dataset: 100.6 kJ/mol of formula units.

Lattice parameters (Å, degrees): 8.5233 8.5233 8.5233 30.17 30.17 30.17
Positions (direct):
Sr (0.2503, 0.2503, 0.2503)
Sr (0.7497, 0.7497, 0.7497)
Re (0.0000, 0.0000, 0.0000)
Te (0.5000, 0.5000, 0.5000)



This record from Alexandria describes a geometry-optimized Hg4Br3 structure. The functional is PBE.

The formation energy (no corrections) comes out at -0.31 eV per formula unit. As for the excess energy over the best structure of this formula in the dataset: 0.0 kJ/mol of formula units.

Lattice parameters (Å, degrees): 14.2385 14.2385 14.2385 164.85 164.85 21.49
Positions (direct):
Hg (0.0701, 0.0701, 0.0000)
Hg (0.3589, 0.3589, 0.0000)
Hg (0.6411, 0.6411, 0.0000)
Hg (0.9299, 0.9299, 0.0000)
Br (0.1950, 0.1950, 0.0000)
Br (0.5000, 0.5000, 0.0000)
Br (0.8050, 0.8050, 0.0000)



This record from Alexandria describes a geometry-optimized LiNiCl2 structure. The functional is PBE.

The formation energy (no corrections) comes out at -3.22 eV per formula unit. As for the excess energy over the best structure of this formula in the dataset: 34.7 kJ/mol of formula units.

Lattice parameters (Å, degrees): 5.2293 5.2293 5.2293 141.87 100.24 92.04
Positions (direct):
Li (0.0000, 0.0000, 0.0000)
Ni (0.5000, 0.0000, 0.5000)
Cl (0.2641, 0.5000, 0.7641)
Cl (0.7359, 0.5000, 0.2359)